! PBE Na2YHfTe4, relaxed; values from VASP
&SYSTEM
  ibrav = 0, nat = 8, ntyp = 4
/
ATOMIC_SPECIES
Y 88.91 Y.upf
Na 22.99 Na.upf
Te 127.60 Te.upf
Hf 178.49 Hf.upf
ATOMIC_POSITIONS angstrom
Y 0.000 0.000 0.000
Na 0.000 2.416 3.879
Na 2.117 -1.280 3.817
Te 0.000 4.814 1.798
Te 0.000 0.019 5.960
Te 2.117 3.524 5.963
Te 2.117 1.309 1.795
Hf 2.117 3.696 0.062
CELL_PARAMETERS angstrom
4.233 0.000 0.000
0.000 7.393 0.124
0.000 -2.560 7.634
! Formation energy (no corrections): -8.43 eV/f.u.

---

! PBE CeScHgPd, relaxed; values from VASP
&SYSTEM
  ibrav = 0, nat = 4, ntyp = 4
/
ATOMIC_SPECIES
Pd 106.42 Pd.upf
Sc 44.96 Sc.upf
Ce 140.12 Ce.upf
Hg 200.59 Hg.upf
ATOMIC_POSITIONS angstrom
Pd 1.421 -6.028 0.375
Sc 2.132 -9.042 0.562
Ce 0.711 -3.014 0.187
Hg 0.000 0.000 0.000
CELL_PARAMETERS angstrom
-1.635 -4.702 -0.940
3.276 -3.576 -1.464
1.202 -3.778 3.154
! Calculated formation energy: -457 meV/atom

---

! PBE Ca2RuAuO, relaxed; values from VASP
&SYSTEM
  ibrav = 0, nat = 5, ntyp = 4
/
ATOMIC_SPECIES
Ru 101.07 Ru.upf
Ca 40.08 Ca.upf
O 16.00 O.upf
Au 196.97 Au.upf
ATOMIC_POSITIONS angstrom
Ru -0.352 0.030 3.936
Ca 0.055 1.861 1.304
Ca -1.804 -0.758 1.158
O 0.000 0.000 0.000
Au 1.397 -1.074 1.474
CELL_PARAMETERS angstrom
-3.609 -1.515 2.315
2.793 -2.148 2.948
0.110 3.723 2.609
! Formation energy (no corrections): -2.63 eV/f.u.

---

! PBE LiTb2BePt2, relaxed; values from VASP
&SYSTEM
  ibrav = 0, nat = 12, ntyp = 4
/
ATOMIC_SPECIES
Tb 158.93 Tb.upf
Li 6.94 Li.upf
Be 9.01 Be.upf
Pt 195.08 Pt.upf
ATOMIC_POSITIONS angstrom
Tb 4.653 -0.392 1.279
Tb 2.563 -1.773 4.692
Tb -0.788 -0.746 5.637
Tb 1.301 0.636 2.224
Li -0.766 -3.947 1.577
Li -0.255 -1.316 0.526
Be -1.699 -0.173 2.685
Be -2.210 -2.804 3.736
Pt -0.019 -1.902 3.117
Pt 3.883 0.764 3.799
Pt -0.753 1.715 3.927
Pt 4.617 -2.852 2.989
CELL_PARAMETERS angstrom
-2.888 2.286 4.319
-1.021 -5.263 2.102
7.773 1.840 0.494
! Calculated formation energy: -829 meV/atom

---

! PBE Cu5Ge2Au5, relaxed; values from VASP
&SYSTEM
  ibrav = 0, nat = 12, ntyp = 3
/
ATOMIC_SPECIES
Au 196.97 Au.upf
Cu 63.55 Cu.upf
Ge 72.64 Ge.upf
ATOMIC_POSITIONS angstrom
Au -0.687 -2.048 1.579
Au -2.852 -1.349 3.583
Au -2.059 1.602 3.926
Au -2.552 -1.382 -0.554
Au -0.987 -2.015 5.716
Cu -2.239 0.310 1.541
Cu -3.172 -3.042 1.572
Cu -1.300 -3.707 3.622
Cu 0.000 0.000 0.000
Cu -0.367 -0.355 3.590
Ge -3.228 -3.929 -0.962
Ge -0.311 0.532 6.125
CELL_PARAMETERS angstrom
-4.082 1.133 -0.306
0.579 -6.602 -2.690
-0.036 2.072 8.158
! Calculated formation energy: 2 meV/atom

---

! PBE DyB4Mo, relaxed; values from VASP
&SYSTEM
  ibrav = 0, nat = 24, ntyp = 3
/
ATOMIC_SPECIES
B 10.81 B.upf
Mo 95.94 Mo.upf
Dy 162.50 Dy.upf
ATOMIC_POSITIONS angstrom
B 4.588 -2.991 3.807
B -1.122 -4.200 3.412
B 1.085 -6.180 4.508
B -2.863 -3.716 2.963
B -0.612 -5.793 4.103
B 5.681 -6.428 5.297
B 6.285 -3.378 4.213
B 6.771 -7.687 5.947
B 1.778 -2.507 3.197
B -0.008 -2.743 3.018
B 2.981 -3.762 3.862
B 2.692 -5.409 4.454
B 8.537 -5.455 5.353
B -1.097 -1.485 2.369
B 6.796 -4.971 4.904
B 3.896 -6.664 5.119
Mo 3.537 -2.973 1.680
Mo 2.642 -7.489 3.286
Mo 7.499 -6.952 3.812
Mo -1.320 -3.510 1.154
Dy 1.234 -4.999 2.113
Dy 1.002 -1.456 0.713
Dy 4.945 -5.463 2.852
Dy 5.177 -9.006 4.253
CELL_PARAMETERS angstrom
-0.505 1.291 3.350
-3.363 -4.826 1.353
9.542 -5.637 3.613
! Calculated formation energy: -631 meV/atom

---

Number 1: density of states at the Fermi level 2.96 states/eV/cell. Number 2: density of states at the Fermi level 8.45 states/eV/cell. Number 3: density of states at the Fermi level 4.31 states/eV/cell. Number 4: density of states at the Fermi level 8.26 states/eV/cell. Number 5: density of states at the Fermi level 4.27 states/eV/cell. Number 6: density of states at the Fermi level 0.37 states/eV/cell.